DFT (GGA-PBE) results for BaTa2Cu after structural relaxation.

For the total magnetization, the calculation gives 0.000 μB/atom. As for the energy relative to the elements: 0.768 eV per atom.

The structure belongs to space group Pmmm (No. 47); the cell edges are 3.0679, 3.6760 and 7.9763 Å and the angles 90.00°, 90.00° and 90.00°. The distinct sites, in fractional coordinates, are Ba at (0.0000, 0.0000, 0.0000), Ta at (0.5000, 0.5000, 0.3383) and Cu at (0.0000, 0.0000, 0.5000).